Model 1:
{"formula": "NaInAg3", "functional": "GGA-PBE", "state": "optimized geometry", "cell": [[5.067, 0.000, 0.000], [0.000, 5.067, 0.000], [0.000, 0.000, 5.067]], "species": ["Ag", "Ag", "Ag", "In", "Na"], "frac_coords": [[0.000, 0.000, 0.500], [0.500, 0.000, 0.000], [0.000, 0.500, 0.000], [0.500, 0.500, 0.500], [0.000, 0.000, 0.000]], "mass_density_g_cm3": 5.89, "dos_at_fermi_per_ev_fu": 1.8, "vol_a3_per_fu": 130, "magnetic_moment_mub_per_fu": 0.0}

Model 2:
{"formula": "NaInAg3", "functional": "GGA-PBE", "state": "optimized geometry", "cell": [[-0.964, -4.097, 3.209], [5.160, -1.178, 0.046], [0.679, 3.137, 4.209]], "species": ["Ag", "Ag", "Ag", "Na", "In"], "frac_coords": [[0.000, 0.500, 0.000], [0.000, 0.000, 0.500], [0.500, 0.000, 0.000], [0.500, 0.500, 0.500], [0.000, 0.000, 0.000]], "mass_density_g_cm3": 5.17, "dos_at_fermi_per_ev_fu": 1.7, "vol_a3_per_fu": 148, "magnetic_moment_mub_per_fu": 0.0}

Relative to the most stable structure, the computed energies are model 1 361; model 2 0, all in meV/atom.

Model 1:
{"formula": "Na2InAg2", "functional": "GGA-PBE", "state": "optimized geometry", "cell": [[-0.348, 3.833, 2.974], [-5.599, 0.612, -1.445], [1.833, -4.883, 2.530]], "species": ["Ag", "Ag", "Na", "Na", "In"], "frac_coords": [[0.500, 0.741, 0.000], [0.500, 0.259, 0.000], [0.192, 0.692, 0.384], [0.808, 0.308, 0.616], [0.000, 0.000, 0.000]], "mass_density_g_cm3": 5.04, "dos_at_fermi_per_ev_fu": 1.8, "vol_a3_per_fu": 124, "magnetic_moment_mub_per_fu": 0.0}

Model 2:
{"formula": "Na2InAg2", "functional": "GGA-PBE", "state": "optimized geometry", "cell": [[-1.285, -1.314, 3.759], [-2.929, -2.364, -1.828], [2.486, -7.274, 0.637]], "species": ["Ag", "Ag", "Na", "Na", "In"], "frac_coords": [[0.595, 0.595, 0.809], [0.405, 0.405, 0.191], [0.750, 0.250, 0.500], [0.250, 0.750, 0.500], [0.000, 0.000, 0.000]], "mass_density_g_cm3": 5.01, "dos_at_fermi_per_ev_fu": 2.4, "vol_a3_per_fu": 125, "magnetic_moment_mub_per_fu": 0.0}

Relative to the most stable structure, the computed energies are model 1 0; model 2 211, all in meV/atom.